A relaxed Ag9Te3Se2 crystal. Source: the Alexandria database, functional PBE.

abc: 14.052 7.684 7.684
angles: 111.46 99.53 99.53
Sites, in units of the cell vectors:
Ag 0.782 0.328 0.328
Ag 0.218 0.672 0.672
Ag 0.500 0.752 0.248
Ag 0.404 0.315 0.085
Ag 0.846 0.733 0.733
Ag 0.596 0.915 0.685
Ag 0.924 0.498 0.113
Ag 0.596 0.685 0.915
Ag 0.154 0.267 0.267
Ag 0.500 0.248 0.752
Ag 0.924 0.113 0.498
Ag 0.076 0.502 0.887
Ag 0.281 0.691 0.122
Ag 0.719 0.309 0.878
Ag 0.404 0.085 0.315
Ag 0.281 0.122 0.691
Ag 0.719 0.878 0.309
Ag 0.076 0.887 0.502
Se 0.876 0.738 0.409
Se 0.124 0.591 0.262
Se 0.124 0.262 0.591
Se 0.876 0.409 0.738
Te 0.388 0.834 0.541
Te 0.612 0.459 0.166
Te 0.762 0.977 0.977
Te 0.388 0.541 0.834
Te 0.238 0.023 0.023
Te 0.612 0.166 0.459

formation energy from raw total energies: 0.002 eV per atom
volume: 26.36 Å³ per atom
symmetry: C2/m, No. 12
density of states at the Fermi level: 0.238 states/eV per atom


A relaxed Mn2RePPt crystal. Source: the Alexandria database, functional PBE.

abc: 4.764 4.396 4.764
angles: 90.00 90.00 90.00
Last column: magnetic moment on the atom in μB.
Sites, in units of the cell vectors:
Mn 0.500 0.000 0.000  3.82
Mn 0.000 0.000 0.500  3.47
Re 0.000 0.000 0.000  -0.41
P 0.000 0.500 0.000  0.09
Pt 0.500 0.500 0.500  0.00

volume: 19.95 Å³ per atom
symmetry: P4/mmm, No. 123
density of states at the Fermi level: 0.907 states/eV per atom
energy relative to the elements: 1008 meV/atom


A relaxed Mg3W crystal. Source: the Alexandria database, functional PBE.

abc: 6.664 4.826 8.540
angles: 90.00 164.12 90.00
Sites, in units of the cell vectors:
Mg 0.500 0.000 0.000
Mg 0.815 0.500 0.046
Mg 0.185 0.500 0.954
W 0.000 0.000 0.000

volume: 18.79 Å³ per atom
symmetry: P2/m, No. 10
density of states at the Fermi level: 0.706 states/eV per atom
energy relative to the elements: 420 meV/atom


A relaxed Rb2TbZrS4 crystal. Source: the Alexandria database, functional PBE.

abc: 3.926 6.859 8.036
angles: 106.25 90.00 90.00
Sites, in units of the cell vectors:
S 0.000 0.719 0.190
S 0.500 0.244 0.194
S 0.000 0.281 0.810
S 0.500 0.756 0.806
Rb 0.000 0.500 0.500
Rb 0.500 0.000 0.500
Zr 0.500 0.500 0.000
Tb 0.000 0.000 0.000

formation energy from raw total energies: -1.627 eV per atom
volume: 25.97 Å³ per atom
symmetry: P2/m, No. 10
density of states at the Fermi level: 0.397 states/eV per atom


A relaxed NaTa3Se crystal. Source: the Alexandria database, functional PBE.

abc: 4.719 4.719 4.719
angles: 90.00 90.00 90.00
Sites, in units of the cell vectors:
Ta 0.000 0.000 0.500
Ta 0.000 0.500 0.000
Ta 0.500 0.000 0.000
Na 0.000 0.000 0.000
Se 0.500 0.500 0.500

formation energy from raw total energies: 2.338 eV per atom
volume: 21.01 Å³ per atom
symmetry: Pm-3m, No. 221
density of states at the Fermi level: 0.376 states/eV per atom


A relaxed Sr2BeGaPt6 crystal. Source: the Alexandria database, functional PBE.

abc: 6.416 6.763 6.745
angles: 56.88 61.86 90.27
Sites, in units of the cell vectors:
Be 0.500 0.500 0.000
Pt 0.836 0.741 0.906
Pt 0.259 0.742 0.908
Pt 0.740 0.833 0.518
Pt 0.260 0.167 0.482
Pt 0.164 0.259 0.094
Pt 0.741 0.258 0.092
Sr 0.288 0.712 0.424
Sr 0.712 0.288 0.576
Ga 0.000 0.000 0.000

volume: 20.20 Å³ per atom
symmetry: P-1, No. 2
density of states at the Fermi level: 0.216 states/eV per atom
energy relative to the elements: -678 meV/atom


- Number 5 is which compound?
  NaTa3Se